SmTm4Pu | PBE-GGA | optimized geometry

abc: 9.2674 9.2674 11.3348
angles: 90.00 90.00 158.22
Fractional coordinates of all 12 atoms:
Sm 0.2214 0.7786 0.5000
Sm 0.7786 0.2214 0.0000
Tm 0.0007 0.9993 0.2547
Tm 0.1100 0.8900 0.0067
Tm 0.3335 0.6665 0.2542
Tm 0.4451 0.5549 0.0028
Tm 0.5549 0.4451 0.5028
Tm 0.6665 0.3335 0.7542
Tm 0.8900 0.1100 0.5067
Tm 0.9993 0.0007 0.7548
Pu 0.3343 0.6657 0.7512
Pu 0.6657 0.3343 0.2512

## Properties
The calculation puts the energy of formation at 0.3 eV per formula unit. For the density of states at the Fermi level, the calculation gives 26.18 states/eV per cell. Its size of the total moment is 5.93 μB/f.u.

---

LaPr4Nd7 | PBE-GGA | optimized geometry

abc: 6.4595 7.4382 9.2404
angles: 89.96 76.54 89.95
Fractional coordinates of all 12 atoms:
La 0.0000 0.0000 0.0000
Pr 0.2205 0.5006 0.3318
Pr 0.2792 0.7501 0.6677
Pr 0.7208 0.2499 0.3323
Pr 0.7795 0.4994 0.6682
Nd 0.0000 0.5000 0.0000
Nd 0.2210 0.0004 0.3316
Nd 0.2789 0.2494 0.6682
Nd 0.4998 0.2501 0.9997
Nd 0.5002 0.7499 0.0003
Nd 0.7211 0.7506 0.3318
Nd 0.7790 0.9996 0.6684

## Properties
The calculation puts the energy of formation at 0.2 eV per formula unit. For the density of states at the Fermi level, the calculation gives 18.75 states/eV per cell. Its size of the total moment is 0.00 μB/f.u.

---

RbMgFe2I8 | PBE-GGA | optimized geometry

abc: 7.3097 7.3097 10.6619
angles: 95.72 95.72 68.79
Fractional coordinates of all 12 atoms:
Rb 0.0000 0.0000 0.0000
Mg 0.0000 0.0000 0.5000
Fe 0.3834 0.3834 0.7099
Fe 0.6166 0.6166 0.2901
I 0.2316 0.7345 0.2964
I 0.2436 0.2436 0.5068
I 0.2655 0.7684 0.7036
I 0.3085 0.3085 0.9231
I 0.6915 0.6915 0.0769
I 0.7345 0.2316 0.2964
I 0.7564 0.7564 0.4932
I 0.7684 0.2655 0.7036

## Properties
The formation energy without anion corrections comes out at -569 meV/atom. For the density of states at the Fermi level, the calculation gives 8.55 states/eV per cell. Its size of the total moment is 9.00 μB/f.u.

---

Which of these has the lowest size of the total moment? LaPr4Nd7